Record 1
The following is a DFT calculation (PBE-GGA) of an optimized crystal structure of Ti4C3.

```
data_Ti4C3
_cell_length_a 5.806
_cell_length_b 5.806
_cell_length_c 5.272
_cell_angle_alpha 116.33
_cell_angle_beta 116.33
_cell_angle_gamma 30.99
_space_group_name_H-M_alt 'P 1'
_space_group_IT_number 1
loop_
_space_group_symop_operation_xyz
'x,y,z'
loop_
_atom_site_label
_atom_site_fract_x
_atom_site_fract_y
_atom_site_fract_z
Ti1 0.129 0.129 0.474
Ti2 0.369 0.369 0.040
Ti3 0.631 0.631 0.960
Ti4 0.871 0.871 0.526
C1 0.238 0.238 0.234
C2 0.500 0.500 0.500
C3 0.762 0.762 0.766
```

Summary:
**E_form**: -0.7058 eV/atom


Record 2
The following is a DFT calculation (PBE-GGA) of an optimized crystal structure of Ti3TlC.

```
data_Ti3TlC
_cell_length_a 5.069
_cell_length_b 5.069
_cell_length_c 5.069
_cell_angle_alpha 90.00
_cell_angle_beta 90.00
_cell_angle_gamma 90.00
_space_group_name_H-M_alt 'P 1'
_space_group_IT_number 1
loop_
_space_group_symop_operation_xyz
'x,y,z'
loop_
_atom_site_label
_atom_site_fract_x
_atom_site_fract_y
_atom_site_fract_z
Ti1 0.000 0.000 0.500
Ti2 0.000 0.500 0.000
Ti3 0.500 0.000 0.000
Tl1 0.000 0.000 0.000
C1 0.500 0.500 0.500
```

Summary:
**E_form**: 2.4359 eV/atom


Record 3
The following is a DFT calculation (PBE-GGA) of an optimized crystal structure of TiTlC3.

```
data_TiTlC3
_cell_length_a 4.179
_cell_length_b 4.179
_cell_length_c 4.179
_cell_angle_alpha 90.00
_cell_angle_beta 90.00
_cell_angle_gamma 90.00
_space_group_name_H-M_alt 'P 1'
_space_group_IT_number 1
loop_
_space_group_symop_operation_xyz
'x,y,z'
loop_
_atom_site_label
_atom_site_fract_x
_atom_site_fract_y
_atom_site_fract_z
Ti1 0.000 0.000 0.000
Tl1 0.500 0.500 0.500
C1 0.000 0.000 0.500
C2 0.000 0.500 0.000
C3 0.500 0.000 0.000
```

Summary:
**E_form**: 1.8300 eV/atom


Record 4
The following is a DFT calculation (PBE-GGA) of an optimized crystal structure of TiTlC2.

```
data_TiTlC2
_cell_length_a 5.993
_cell_length_b 5.993
_cell_length_c 5.993
_cell_angle_alpha 128.79
_cell_angle_beta 128.79
_cell_angle_gamma 75.36
_space_group_name_H-M_alt 'P 1'
_space_group_IT_number 1
loop_
_space_group_symop_operation_xyz
'x,y,z'
loop_
_atom_site_label
_atom_site_fract_x
_atom_site_fract_y
_atom_site_fract_z
Ti1 0.000 0.000 0.000
Ti2 0.750 0.250 0.500
Tl1 0.250 0.750 0.500
Tl2 0.500 0.500 0.000
C1 0.078 0.625 0.953
C2 0.375 0.328 0.453
C3 0.672 0.125 0.047
C4 0.875 0.922 0.547
```

Summary:
**E_form**: 0.9987 eV/atom


Record 5
The following is a DFT calculation (PBE-GGA) of an optimized crystal structure of TiTl3C.

```
data_TiTl3C
_cell_length_a 5.509
_cell_length_b 5.509
_cell_length_c 5.509
_cell_angle_alpha 90.00
_cell_angle_beta 90.00
_cell_angle_gamma 90.00
_space_group_name_H-M_alt 'P 1'
_space_group_IT_number 1
loop_
_space_group_symop_operation_xyz
'x,y,z'
loop_
_atom_site_label
_atom_site_fract_x
_atom_site_fract_y
_atom_site_fract_z
Ti1 0.000 0.000 0.000
Tl1 0.000 0.000 0.500
Tl2 0.000 0.500 0.000
Tl3 0.500 0.000 0.000
C1 0.500 0.500 0.500
```

Summary:
**E_form**: 1.6963 eV/atom


Record 6
The following is a DFT calculation (PBE-GGA) of an optimized crystal structure of TiTlC2.

```
data_TiTlC2
_cell_length_a 4.139
_cell_length_b 4.139
_cell_length_c 4.139
_cell_angle_alpha 60.00
_cell_angle_beta 60.00
_cell_angle_gamma 60.00
_space_group_name_H-M_alt 'P 1'
_space_group_IT_number 1
loop_
_space_group_symop_operation_xyz
'x,y,z'
loop_
_atom_site_label
_atom_site_fract_x
_atom_site_fract_y
_atom_site_fract_z
Ti1 0.000 0.000 0.000
Tl1 0.500 0.500 0.500
C1 0.250 0.250 0.250
C2 0.750 0.750 0.750
```

Summary:
**E_form**: 1.7567 eV/atom


Record 7
The following is a DFT calculation (PBE-GGA) of an optimized crystal structure of Ti6Tl2C.

```
data_Ti6Tl2C
_cell_length_a 7.302
_cell_length_b 7.302
_cell_length_c 3.309
_cell_angle_alpha 90.00
_cell_angle_beta 90.00
_cell_angle_gamma 120.00
_space_group_name_H-M_alt 'P 1'
_space_group_IT_number 1
loop_
_space_group_symop_operation_xyz
'x,y,z'
loop_
_atom_site_label
_atom_site_fract_x
_atom_site_fract_y
_atom_site_fract_z
Ti1 0.000 0.215 0.000
Ti2 0.000 0.651 0.500
Ti3 0.215 0.000 0.000
Ti4 0.349 0.349 0.500
Ti5 0.651 0.000 0.500
Ti6 0.785 0.785 0.000
Tl1 0.333 0.667 0.000
Tl2 0.667 0.333 0.000
C1 0.000 0.000 0.500
```

Summary:
**E_form**: -0.1144 eV/atom


Record 8
The following is a DFT calculation (PBE-GGA) of an optimized crystal structure of Ti7Tl2C2.

```
data_Ti7Tl2C2
_cell_length_a 5.653
_cell_length_b 5.653
_cell_length_c 7.458
_cell_angle_alpha 96.12
_cell_angle_beta 96.12
_cell_angle_gamma 111.78
_space_group_name_H-M_alt 'P 1'
_space_group_IT_number 1
loop_
_space_group_symop_operation_xyz
'x,y,z'
loop_
_atom_site_label
_atom_site_fract_x
_atom_site_fract_y
_atom_site_fract_z
Ti1 0.000 0.000 0.000
Ti2 0.087 0.513 0.840
Ti3 0.407 0.407 0.163
Ti4 0.487 0.913 0.160
Ti5 0.513 0.087 0.840
Ti6 0.593 0.593 0.837
Ti7 0.913 0.487 0.160
Tl1 0.315 0.685 0.500
Tl2 0.685 0.315 0.500
C1 0.277 0.277 0.881
C2 0.723 0.723 0.119
```

Summary:
**E_form**: 0.0865 eV/atom


Record 9
The following is a DFT calculation (PBE-GGA) of an optimized crystal structure of Ti3TlC.

```
data_Ti3TlC
_cell_length_a 4.261
_cell_length_b 4.261
_cell_length_c 4.261
_cell_angle_alpha 90.00
_cell_angle_beta 90.00
_cell_angle_gamma 90.00
_space_group_name_H-M_alt 'P 1'
_space_group_IT_number 1
loop_
_space_group_symop_operation_xyz
'x,y,z'
loop_
_atom_site_label
_atom_site_fract_x
_atom_site_fract_y
_atom_site_fract_z
Ti1 0.000 0.000 0.500
Ti2 0.000 0.500 0.000
Ti3 0.500 0.000 0.000
Tl1 0.500 0.500 0.500
C1 0.000 0.000 0.000
```

Summary:
**E_form**: -0.4400 eV/atom


Record 10
The following is a DFT calculation (PBE-GGA) of an optimized crystal structure of Ti5Tl2C.

```
data_Ti5Tl2C
_cell_length_a 8.324
_cell_length_b 8.324
_cell_length_c 10.505
_cell_angle_alpha 90.00
_cell_angle_beta 90.00
_cell_angle_gamma 152.38
_space_group_name_H-M_alt 'P 1'
_space_group_IT_number 1
loop_
_space_group_symop_operation_xyz
'x,y,z'
loop_
_atom_site_label
_atom_site_fract_x
_atom_site_fract_y
_atom_site_fract_z
Ti1 0.138 0.862 0.622
Ti2 0.138 0.862 0.878
Ti3 0.267 0.733 0.250
Ti4 0.299 0.701 0.563
Ti5 0.299 0.701 0.937
Ti6 0.701 0.299 0.063
Ti7 0.701 0.299 0.437
Ti8 0.733 0.267 0.750
Ti9 0.862 0.138 0.122
Ti10 0.862 0.138 0.378
Tl1 0.054 0.946 0.117
Tl2 0.054 0.946 0.383
Tl3 0.946 0.054 0.617
Tl4 0.946 0.054 0.883
C1 0.242 0.758 0.750
C2 0.758 0.242 0.250
```

Summary:
**E_form**: 0.1727 eV/atom


Record 11
The following is a DFT calculation (PBE-GGA) of an optimized crystal structure of Ti3TlC.

```
data_Ti3TlC
_cell_length_a 5.518
_cell_length_b 5.518
_cell_length_c 8.040
_cell_angle_alpha 113.18
_cell_angle_beta 113.18
_cell_angle_gamma 46.25
_space_group_name_H-M_alt 'P 1'
_space_group_IT_number 1
loop_
_space_group_symop_operation_xyz
'x,y,z'
loop_
_atom_site_label
_atom_site_fract_x
_atom_site_fract_y
_atom_site_fract_z
Ti1 0.110 0.110 0.183
Ti2 0.138 0.138 0.685
Ti3 0.353 0.353 0.056
Ti4 0.647 0.647 0.944
Ti5 0.862 0.862 0.315
Ti6 0.890 0.890 0.817
Tl1 0.388 0.388 0.575
Tl2 0.612 0.612 0.425
C1 0.119 0.119 0.929
C2 0.881 0.881 0.071
```

Summary:
**E_form**: -0.3601 eV/atom


Record 12
The following is a DFT calculation (PBE-GGA) of an optimized crystal structure of TiTl3C.

```
data_TiTl3C
_cell_length_a 4.880
_cell_length_b 4.880
_cell_length_c 4.880
_cell_angle_alpha 90.00
_cell_angle_beta 90.00
_cell_angle_gamma 90.00
_space_group_name_H-M_alt 'P 1'
_space_group_IT_number 1
loop_
_space_group_symop_operation_xyz
'x,y,z'
loop_
_atom_site_label
_atom_site_fract_x
_atom_site_fract_y
_atom_site_fract_z
Ti1 0.000 0.000 0.000
Tl1 0.000 0.500 0.500
Tl2 0.500 0.000 0.500
Tl3 0.500 0.500 0.000
C1 0.500 0.500 0.500
```

Summary:
**E_form**: 1.3666 eV/atom


| no. | total DFT energy (no corrections) (eV per atom) | total magnetization (μB/f.u.) |
| --- | --- | --- |
| 1 | -9.17 | 0.000 |
| 2 | -4.62 | 3.116 |
| 3 | -5.76 | 0.000 |
| 4 | -6.18 | 0.000 |
| 5 | -3.15 | 0.942 |
| 6 | -5.42 | 0.000 |
| 7 | -6.93 | 0.001 |
| 8 | -7.04 | 0.503 |
| 9 | -7.49 | 0.000 |
| 10 | -6.51 | 0.000 |
| 11 | -7.42 | 0.000 |
| 12 | -3.48 | 0.000 |